The following is a GGA-PBE calculation of a geometry-optimized La12Dy7Er structure, from Alexandria.

The space group is R-3 (No. 148, hexagonal axes) and the conventional cell measures 12.4980, 12.4980 and 15.4707 Å, with angles of 90.00, 90.00 and 120.00 degrees. Symmetry generates all atoms from La at (0.0143, 0.5749, 0.2209), La at (0.0665, 0.4704, 0.5775), Dy at (0.0000, 0.0000, 0.0000), Dy at (0.0521, 0.8682, 0.3078) and Er at (0.0000, 0.0000, 0.5000).

The total magnetization is 0.00 μB/f.u. Its energy relative to the elements is 0.194 eV/atom.

=====

The following is a GGA-PBE calculation of a geometry-optimized La8DyEr6 structure, from Alexandria.

The space group is P-3 (No. 147) and the conventional cell measures 11.5887, 11.5887 and 4.5299 Å, with angles of 90.00, 90.00 and 120.00 degrees. Symmetry generates all atoms from La at (0.0786, 0.3195, 0.0005), La at (0.3333, 0.6667, 0.9984), Dy at (0.0000, 0.0000, 0.5000) and Er at (0.1361, 0.6511, 0.4987).

The total magnetization is 0.00 μB/f.u. Its energy relative to the elements is 0.276 eV/atom.

=====

The following is a GGA-PBE calculation of a geometry-optimized La3Dy5Er3 structure, from Alexandria.

The space group is P-62m (No. 189) and the conventional cell measures 9.6731, 9.6731 and 5.3090 Å, with angles of 90.00, 90.00 and 120.00 degrees. Symmetry generates all atoms from La at (0.0000, 0.6403, 0.0000), Dy at (0.0000, 0.2712, 0.0000), Dy at (0.3333, 0.6667, 0.0000) and Er at (0.0000, 0.4756, 0.5000).

The total magnetization is 0.00 μB/f.u. Its energy relative to the elements is 0.787 eV/atom.

=====

The following is a GGA-PBE calculation of a geometry-optimized La6DyEr structure, from Alexandria.

The space group is C2/m (No. 12) and the conventional cell measures 6.875, 11.879 and 6.877 Å, with angles of 90.00, 90.28 and 90.00 degrees. Symmetry generates all atoms from La at (0.064, 0.000, 0.248), La at (0.220, 0.282, 0.249), Dy at (0.000, 0.500, 0.500) and Er at (0.000, 0.500, 0.000).

The total magnetization is 0.00 μB/f.u. Its energy relative to the elements is 0.109 eV/atom.

=====

What is the energy relative to the elements in the first record?
0.194 eV/atom

=====

Repeat the fourth record exactly.
The following is a GGA-PBE calculation of a geometry-optimized La6DyEr structure, from Alexandria.

The space group is C2/m (No. 12) and the conventional cell measures 6.875, 11.879 and 6.877 Å, with angles of 90.00, 90.28 and 90.00 degrees. Symmetry generates all atoms from La at (0.064, 0.000, 0.248), La at (0.220, 0.282, 0.249), Dy at (0.000, 0.500, 0.500) and Er at (0.000, 0.500, 0.000).

The total magnetization is 0.00 μB/f.u. Its energy relative to the elements is 0.109 eV/atom.